Entry from Alexandria: a relaxed structure of AcCd2As (GGA-PBE).

Unit cell a=4.224 b=4.224 c=9.610 alpha=77.30 beta=77.30 gamma=60.00
Positions (direct):
Ac1 0.000 0.000 0.000
As1 0.500 0.500 0.500
Cd1 0.120 0.120 0.639
Cd2 0.880 0.880 0.361

Values from the calculation:
M_tot in μB/f.u.: 0.0
Density in g cm⁻³: 6.09
Calculated formation energy in eV/atom: 0.2655

Entry from Alexandria: a relaxed structure of AcCd2As (GGA-PBE).

Unit cell a=5.513 b=4.485 c=4.485 alpha=90.00 beta=90.00 gamma=90.00
Positions (direct):
Ac1 0.500 0.000 0.000
As1 0.500 0.500 0.500
Cd1 0.000 0.000 0.500
Cd2 0.000 0.500 0.000

Values from the calculation:
M_tot in μB/f.u.: 0.0
Density in g cm⁻³: 7.89
Calculated formation energy in eV/atom: -0.5291

Entry from Alexandria: a relaxed structure of Ac4Cd2As (GGA-PBE).

Unit cell a=5.996 b=5.996 c=9.077 alpha=109.28 beta=109.28 gamma=90.00
Positions (direct):
Ac1 0.809 0.809 0.618
Ac2 0.191 0.191 0.382
Ac3 0.000 0.500 0.000
Ac4 0.500 0.000 0.000
As1 0.000 0.000 0.000
Cd1 0.607 0.607 0.214
Cd2 0.393 0.393 0.786

Values from the calculation:
M_tot in μB/f.u.: 0.0
Density in g cm⁻³: 6.95
Calculated formation energy in eV/atom: -0.3412

Entry from Alexandria: a relaxed structure of Ac5Cd3As12 (GGA-PBE).

Unit cell a=15.036 b=15.036 c=15.036 alpha=109.47 beta=109.47 gamma=109.47
Positions (direct):
Cd1 0.750 0.375 0.125
Cd2 0.875 0.750 0.125
Cd3 0.375 0.750 0.625
Cd4 0.250 0.125 0.375
Cd5 0.875 0.125 0.250
Cd6 0.375 0.625 0.250
Cd7 0.625 0.375 0.750
Cd8 0.125 0.875 0.750
Cd9 0.750 0.875 0.625
Cd10 0.625 0.250 0.375
Cd11 0.125 0.250 0.875
Cd12 0.250 0.625 0.875
Ac1 0.125 0.375 0.250
Ac2 0.000 0.500 0.000
Ac3 0.000 0.000 0.000
Ac4 0.375 0.250 0.125
Ac5 0.500 0.000 0.500
Ac6 0.500 0.500 0.000
Ac7 0.125 0.750 0.375
Ac8 0.750 0.125 0.875
Ac9 0.750 0.625 0.375
Ac10 0.375 0.125 0.750
Ac11 0.625 0.875 0.250
Ac12 0.500 0.500 0.500
Ac13 0.500 0.000 0.000
Ac14 0.000 0.000 0.500
Ac15 0.250 0.375 0.625
Ac16 0.250 0.875 0.125
Ac17 0.000 0.500 0.500
Ac18 0.875 0.250 0.625
Ac19 0.625 0.750 0.875
Ac20 0.875 0.625 0.750
As1 0.770 0.149 0.089
As2 0.320 0.589 0.441
As3 0.911 0.351 0.230
As4 0.589 0.270 0.149
As5 0.621 0.770 0.680
As6 0.911 0.559 0.180
As7 0.320 0.730 0.379
As8 0.059 0.879 0.149
As9 0.559 0.911 0.680
As10 0.770 0.621 0.180
As11 0.730 0.411 0.351
As12 0.820 0.941 0.089
As13 0.149 0.770 0.589
As14 0.351 0.441 0.121
As15 0.121 0.941 0.351
As16 0.379 0.149 0.559
As17 0.121 0.180 0.270
As18 0.411 0.680 0.059
As19 0.820 0.879 0.230
As20 0.149 0.379 0.059
As21 0.351 0.911 0.730
As22 0.559 0.649 0.379
As23 0.941 0.820 0.589
As24 0.730 0.320 0.879
As25 0.441 0.351 0.621
As26 0.059 0.180 0.411
As27 0.270 0.680 0.121
As28 0.180 0.121 0.770
As29 0.649 0.089 0.270
As30 0.851 0.621 0.941
As31 0.589 0.320 0.941
As32 0.621 0.851 0.441
As33 0.879 0.820 0.730
As34 0.879 0.059 0.649
As35 0.851 0.230 0.411
As36 0.180 0.059 0.911
As37 0.649 0.559 0.879
As38 0.441 0.089 0.320
As39 0.230 0.379 0.820
As40 0.270 0.589 0.649
As41 0.941 0.121 0.851
As42 0.680 0.270 0.621
As43 0.411 0.730 0.851
As44 0.089 0.441 0.820
As45 0.379 0.230 0.320
As46 0.089 0.649 0.770
As47 0.680 0.411 0.559
As48 0.230 0.851 0.911

Values from the calculation:
M_tot in μB/f.u.: 0.0
Density in g cm⁻³: 6.02
Calculated formation energy in eV/atom: -0.2195

Entry from Alexandria: a relaxed structure of AcCdAs (GGA-PBE).

Unit cell a=4.307 b=4.750 c=4.750 alpha=120.00 beta=90.00 gamma=90.00
Positions (direct):
Ac1 0.665 0.667 0.333
As1 0.147 0.000 0.000
Cd1 0.188 0.333 0.667

Values from the calculation:
M_tot in μB/f.u.: 0.0
Energy above the lowest structure with this stoichiometry in meV per atom: 0.0
Density in g cm⁻³: 8.17
Calculated formation energy in eV/atom: -0.6624

Entry from Alexandria: a relaxed structure of Ac2CdAs (GGA-PBE).

Unit cell a=5.618 b=5.618 c=5.618 alpha=60.00 beta=60.00 gamma=60.00
Positions (direct):
Ac1 0.250 0.250 0.250
Ac2 0.750 0.750 0.750
As1 0.500 0.500 0.500
Cd1 0.000 0.000 0.000

Values from the calculation:
M_tot in μB/f.u.: 0.0
Energy above the lowest structure with this stoichiometry in meV per atom: 203.9
Density in g cm⁻³: 8.50
Calculated formation energy in eV/atom: -0.5578

Entry from Alexandria: a relaxed structure of AcCd5As4 (GGA-PBE).

Unit cell a=4.415 b=8.058 c=8.955 alpha=116.74 beta=104.27 gamma=90.00
Positions (direct):
Ac1 0.500 0.000 0.000
Cd1 0.825 0.045 0.649
Cd2 0.825 0.605 0.649
Cd3 0.175 0.395 0.351
Cd4 0.175 0.955 0.351
Cd5 0.500 0.500 0.000
As1 0.000 0.722 0.000
As2 0.285 0.785 0.570
As3 0.715 0.215 0.430
As4 0.000 0.278 0.000

Values from the calculation:
M_tot in μB/f.u.: 0.0
Density in g cm⁻³: 6.61
Calculated formation energy in eV/atom: -0.2832

Entry from Alexandria: a relaxed structure of AcCd2As (GGA-PBE).

Unit cell a=3.951 b=3.951 c=6.943 alpha=90.00 beta=90.00 gamma=90.00
Positions (direct):
Ac1 0.500 0.500 0.500
As1 0.500 0.500 0.000
Cd1 0.000 0.000 0.797
Cd2 0.000 0.000 0.203

Values from the calculation:
M_tot in μB/f.u.: 0.1
Density in g cm⁻³: 8.07
Calculated formation energy in eV/atom: -0.2057

Entry from Alexandria: a relaxed structure of Ac2CdAs (GGA-PBE).

Unit cell a=4.446 b=4.446 c=8.802 alpha=75.37 beta=75.37 gamma=60.00
Positions (direct):
Ac1 0.739 0.739 0.783
Ac2 0.261 0.261 0.217
As1 0.000 0.000 0.000
Cd1 0.500 0.500 0.500

Values from the calculation:
M_tot in μB/f.u.: 0.0
Energy above the lowest structure with this stoichiometry in meV per atom: 0.0
Density in g cm⁻³: 7.39
Calculated formation energy in eV/atom: -0.7617

Entry from Alexandria: a relaxed structure of Ac2CdAs (GGA-PBE).

Unit cell a=4.037 b=4.037 c=7.665 alpha=90.00 beta=90.00 gamma=90.00
Positions (direct):
Ac1 0.000 0.000 0.771
Ac2 0.000 0.000 0.229
As1 0.500 0.500 0.000
Cd1 0.500 0.500 0.500

Values from the calculation:
M_tot in μB/f.u.: 0.0
Energy above the lowest structure with this stoichiometry in meV per atom: 63.4
Density in g cm⁻³: 8.52
Calculated formation energy in eV/atom: -0.6984

Entry from Alexandria: a relaxed structure of AcCdHgAs (GGA-PBE).

Unit cell a=5.367 b=5.367 c=5.367 alpha=60.00 beta=60.00 gamma=60.00
Positions (direct):
As1 0.750 0.750 0.750
Ac1 0.000 0.000 0.000
Hg1 0.250 0.250 0.250
Cd1 0.500 0.500 0.500

Values from the calculation:
M_tot in μB/f.u.: 0.0
Density in g cm⁻³: 9.34
Calculated formation energy in eV/atom: -0.4580

Entry from Alexandria: a relaxed structure of Ac2CdAs4Ir3 (GGA-PBE).

Unit cell a=4.491 b=4.491 c=10.369 alpha=90.00 beta=90.00 gamma=90.00
Positions (direct):
Ac1 0.500 0.000 0.238
Ac2 0.000 0.500 0.762
Cd1 0.500 0.500 0.500
As1 0.500 0.500 0.000
As2 0.000 0.000 0.000
As3 0.500 0.000 0.648
As4 0.000 0.500 0.352
Ir1 0.000 0.000 0.500
Ir2 0.500 0.000 0.891
Ir3 0.000 0.500 0.109

Values from the calculation:
M_tot in μB/f.u.: 0.0
Density in g cm⁻³: 11.46
Calculated formation energy in eV/atom: -0.6770

> Among the records above, which one has the lowest calculated formation energy?

number 9